No. 1
CsZrTi3 | PBE | optimized geometry

Unit cell a=4.9220 b=4.9220 c=4.9220 alpha=90.00 beta=90.00 gamma=90.00
Closest atoms and distances in Å follow each position.
Positions (direct):
1 Cs 0.0000 0.0000 0.0000  6 Ti 2.46
2 Zr 0.5000 0.5000 0.5000  12 Ti 3.48
3 Ti 0.0000 0.0000 0.5000  2 Cs 2.46
4 Ti 0.0000 0.5000 0.0000  2 Cs 2.46
5 Ti 0.5000 0.0000 0.0000  2 Cs 2.46

Values from the calculation:
polymorph energy (0 for the lowest one) = 0.455 eV per atom


No. 2
CsZrTi2 | PBE | optimized geometry

Unit cell a=5.1114 b=5.1114 c=20.2134 alpha=90.00 beta=90.00 gamma=90.00
Closest atoms and distances in Å follow each position.
Positions (direct):
1 Cs 0.0000 0.2500 0.3750  4 Zr 3.61, 8 Ti 3.81
2 Cs 0.0000 0.7500 0.6250  4 Zr 3.61, 8 Ti 3.81
3 Cs 0.5000 0.2500 0.1250  4 Zr 3.61, 8 Ti 3.81
4 Cs 0.5000 0.7500 0.8750  4 Zr 3.61, 8 Ti 3.81
5 Zr 0.0000 0.2500 0.8750  4 Ti 2.83
6 Zr 0.0000 0.7500 0.1250  4 Ti 2.83
7 Zr 0.5000 0.2500 0.6250  4 Ti 2.83
8 Zr 0.5000 0.7500 0.3750  4 Ti 2.83
9 Ti 0.0000 0.0000 0.0000  2 Ti 2.56, 2 Zr 2.83
10 Ti 0.0000 0.5000 0.0000  2 Ti 2.56, 2 Zr 2.83
11 Ti 0.2500 0.2500 0.7500  2 Ti 2.56, 2 Zr 2.83
12 Ti 0.2500 0.7500 0.2500  2 Ti 2.56, 2 Zr 2.83
13 Ti 0.5000 0.0000 0.5000  2 Ti 2.56, 2 Zr 2.83
14 Ti 0.5000 0.5000 0.5000  2 Ti 2.56, 2 Zr 2.83
15 Ti 0.7500 0.2500 0.7500  2 Ti 2.56, 2 Zr 2.83
16 Ti 0.7500 0.7500 0.2500  2 Ti 2.56, 2 Zr 2.83

Values from the calculation:
polymorph energy (0 for the lowest one) = 0.321 eV per atom


No. 3
Cs3ZrTi | PBE | optimized geometry

Unit cell a=6.7109 b=6.7109 c=6.7109 alpha=90.00 beta=90.00 gamma=90.00
Closest atoms and distances in Å follow each position.
Positions (direct):
1 Cs 0.0000 0.0000 0.5000  2 Zr 3.36
2 Cs 0.0000 0.5000 0.0000  2 Zr 3.36
3 Cs 0.5000 0.0000 0.0000  2 Zr 3.36
4 Zr 0.0000 0.0000 0.0000  6 Cs 3.36
5 Ti 0.5000 0.5000 0.5000  12 Cs 4.75


No. 4
CsZrTi2 | PBE | optimized geometry

Unit cell a=7.1869 b=7.1869 c=7.1869 alpha=90.00 beta=90.00 gamma=90.00
Closest atoms and distances in Å follow each position.
Positions (direct):
1 Cs 0.0000 0.0000 0.0000  8 Ti 3.11
2 Cs 0.0000 0.5000 0.5000  8 Ti 3.11
3 Cs 0.5000 0.0000 0.5000  8 Ti 3.11
4 Cs 0.5000 0.5000 0.0000  8 Ti 3.11
5 Zr 0.0000 0.0000 0.5000  8 Ti 3.11
6 Zr 0.0000 0.5000 0.0000  8 Ti 3.11
7 Zr 0.5000 0.0000 0.0000  8 Ti 3.11
8 Zr 0.5000 0.5000 0.5000  8 Ti 3.11
9 Ti 0.2500 0.2500 0.2500  4 Zr 3.11, 4 Cs 3.11
10 Ti 0.2500 0.2500 0.7500  4 Zr 3.11, 4 Cs 3.11
11 Ti 0.2500 0.7500 0.2500  4 Zr 3.11, 4 Cs 3.11
12 Ti 0.2500 0.7500 0.7500  4 Zr 3.11, 4 Cs 3.11
13 Ti 0.7500 0.2500 0.2500  4 Zr 3.11, 4 Cs 3.11
14 Ti 0.7500 0.2500 0.7500  4 Zr 3.11, 4 Cs 3.11
15 Ti 0.7500 0.7500 0.2500  4 Zr 3.11, 4 Cs 3.11
16 Ti 0.7500 0.7500 0.7500  4 Zr 3.11, 4 Cs 3.11

Values from the calculation:
polymorph energy (0 for the lowest one) = 0.000 eV per atom


No. 5
CsZrTi3 | PBE | optimized geometry

Unit cell a=5.2493 b=5.2493 c=5.2493 alpha=90.00 beta=90.00 gamma=90.00
Closest atoms and distances in Å follow each position.
Positions (direct):
1 Cs 0.0000 0.0000 0.0000  12 Ti 3.71
2 Zr 0.5000 0.5000 0.5000  6 Ti 2.62
3 Ti 0.0000 0.5000 0.5000  2 Zr 2.62
4 Ti 0.5000 0.0000 0.5000  2 Zr 2.62
5 Ti 0.5000 0.5000 0.0000  2 Zr 2.62

Values from the calculation:
polymorph energy (0 for the lowest one) = 0.000 eV per atom


No. 6
Cs3Tl | PBE | optimized geometry

Unit cell a=4.8632 b=5.4601 c=12.3156 alpha=90.00 beta=90.00 gamma=90.00
Closest atoms and distances in Å follow each position.
Positions (direct):
1 Cs 0.0000 0.0000 0.0000  4 Cs 4.76-4.86
2 Cs 0.0000 0.5000 0.3162  4 Tl 3.94
3 Cs 0.5000 0.5000 0.6716  2 Tl 3.99
4 Tl 0.5000 0.0000 0.4353  6 Cs 3.94-3.99

Values from the calculation:
polymorph energy (0 for the lowest one) = 0.110 eV per atom


No. 7
CsTl8 | PBE | optimized geometry

Unit cell a=8.0522 b=8.0522 c=8.0506 alpha=96.03 beta=96.03 gamma=142.11
Closest atoms and distances in Å follow each position.
Positions (direct):
1 Cs 0.0000 0.0000 0.0000  12 Tl 3.75-3.81
2 Tl 0.0008 0.6526 0.6519  7 Tl 3.27-3.50
3 Tl 0.3183 0.3183 0.6365  8 Tl 3.34-3.73
4 Tl 0.3183 0.6817 0.0000  8 Tl 3.34-3.73
5 Tl 0.3474 0.9992 0.3481  7 Tl 3.27-3.50
6 Tl 0.6526 0.0008 0.6519  7 Tl 3.27-3.50
7 Tl 0.6817 0.3183 0.0000  8 Tl 3.34-3.73
8 Tl 0.6817 0.6817 0.3635  8 Tl 3.34-3.73
9 Tl 0.9992 0.3474 0.3481  7 Tl 3.27-3.50


No. 8
Cs3Tl4 | PBE | optimized geometry

Unit cell a=5.2418 b=6.2248 c=22.9276 alpha=90.00 beta=90.00 gamma=90.00
Closest atoms and distances in Å follow each position.
Positions (direct):
1 Cs 0.0000 0.0000 0.0000  12 Tl 4.36
2 Cs 0.0000 0.5000 0.3135  7 Tl 4.13-4.25
3 Cs 0.0000 0.5000 0.6865  7 Tl 4.13-4.25
4 Cs 0.5000 0.0000 0.1865  7 Tl 4.13-4.25
5 Cs 0.5000 0.0000 0.8135  7 Tl 4.13-4.25
6 Cs 0.5000 0.5000 0.5000  12 Tl 4.36
7 Tl 0.0000 0.0000 0.4319  3 Tl 3.02-3.12
8 Tl 0.0000 0.0000 0.5681  3 Tl 3.02-3.12
9 Tl 0.0000 0.5000 0.1331  2 Tl 3.02
10 Tl 0.0000 0.5000 0.8669  2 Tl 3.02
11 Tl 0.5000 0.0000 0.3669  2 Tl 3.02
12 Tl 0.5000 0.0000 0.6331  2 Tl 3.02
13 Tl 0.5000 0.5000 0.0681  3 Tl 3.02-3.12
14 Tl 0.5000 0.5000 0.9319  3 Tl 3.02-3.12


Calculated formation energy from the elements in order - 1.83, 1.59, 1.71, 1.26, 1.38, 0.09, -0.01, -0.03 eV/atom
Calculated spin magnetization in order - 1.02, 0.00, 1.59, 0.00, 4.20, 0.00, 0.00, 0.00 μB per cell